[1]
BaSr4Hg5 | PBE | optimized geometry

M_tot = 0.00 μB per cell
formation energy from the elements = -528.1 meV per atom
density = 7.47 Mg/m³

Lattice parameters (Å, degrees): 4.0472 4.0472 20.2347 90.00 90.00 90.00
Closest atoms and distances in Å follow each position.
Atoms (fractional coordinates):
Ba  0.0000  0.0000  0.0000  8 Hg 3.61
Sr  0.0000  0.0000  0.2061  8 Hg 3.48
Sr  0.0000  0.0000  0.4019  8 Hg 3.48
Sr  0.0000  0.0000  0.5981  8 Hg 3.48
Sr  0.0000  0.0000  0.7939  8 Hg 3.48
Hg  0.5000  0.5000  0.1086  4 Sr 3.48, 4 Ba 3.61
Hg  0.5000  0.5000  0.3040  8 Sr 3.48
Hg  0.5000  0.5000  0.5000  8 Sr 3.48
Hg  0.5000  0.5000  0.6960  8 Sr 3.48
Hg  0.5000  0.5000  0.8914  4 Sr 3.48, 4 Ba 3.61


[2]
Ba2Sr4Hg | PBE | optimized geometry

M_tot = 0.00 μB per cell
formation energy from the elements = 15.0 meV per atom
density = 3.30 Mg/m³

Lattice parameters (Å, degrees): 11.3942 11.3942 11.3942 147.95 147.95 45.95
Closest atoms and distances in Å follow each position.
Atoms (fractional coordinates):
Ba  0.1483  0.1483  0.0000  9 Sr 4.17-4.45
Ba  0.8517  0.8517  0.0000  9 Sr 4.17-4.45
Sr  0.0000  0.5000  0.5000  2 Hg 3.15
Sr  0.3473  0.3473  0.0000  1 Hg 3.20
Sr  0.5000  0.0000  0.5000  2 Hg 3.15
Sr  0.6527  0.6527  0.0000  1 Hg 3.20
Hg  0.5000  0.5000  0.0000  6 Sr 3.15-3.20


[3]
BaSr2Hg2 | PBE | optimized geometry

M_tot = 0.00 μB per cell
formation energy from the elements = -321.1 meV per atom
density = 5.75 Mg/m³
energy relative to the lowest polymorph listed for this composition = 0.102 eV per atom

Lattice parameters (Å, degrees): 7.9303 7.9303 7.9303 139.79 139.79 58.17
Closest atoms and distances in Å follow each position.
Atoms (fractional coordinates):
Ba  0.0000  0.0000  0.0000  8 Hg 4.12, 8 Sr 4.41
Sr  0.2500  0.7500  0.5000  4 Hg 3.39
Sr  0.7500  0.2500  0.5000  4 Hg 3.39
Hg  0.3948  0.3948  0.0000  1 Hg 2.92
Hg  0.6052  0.6052  0.0000  1 Hg 2.92


[4]
Ba3SrHg | PBE | optimized geometry

M_tot = 0.00 μB per cell
formation energy from the elements = -206.5 meV per atom
density = 4.48 Mg/m³
energy relative to the lowest polymorph listed for this composition = 0.000 eV per atom

Lattice parameters (Å, degrees): 7.9738 7.9738 16.0384 108.79 108.79 32.73
Closest atoms and distances in Å follow each position.
Atoms (fractional coordinates):
Ba  0.0000  0.0000  0.0000  1 Hg 3.49
Ba  0.0204  0.0204  0.3906  2 Hg 3.62
Ba  0.3315  0.3315  0.7520  2 Hg 3.56
Ba  0.3559  0.3559  0.1577  1 Hg 3.50
Ba  0.5540  0.5540  0.6383  2 Hg 3.47
Ba  0.6947  0.6947  0.9177  2 Hg 3.55
Sr  0.6663  0.6663  0.2378  2 Hg 3.45
Sr  0.7918  0.7918  0.5064  2 Hg 3.36
Hg  0.0215  0.0215  0.7903  7 Ba 3.47-3.56
Hg  0.3277  0.3277  0.3651  4 Sr 3.36-3.45, 3 Ba 3.50-3.62


[5]
BaSrHg | PBE | optimized geometry

M_tot = 0.00 μB per cell
formation energy from the elements = -367.3 meV per atom
density = 5.55 Mg/m³
energy relative to the lowest polymorph listed for this composition = 0.006 eV per atom

Lattice parameters (Å, degrees): 7.8979 7.8979 5.8816 90.00 90.00 136.08
Closest atoms and distances in Å follow each position.
Atoms (fractional coordinates):
Ba  0.1352  0.8648  0.0000  4 Hg 3.55-3.56, 1 Ba 3.96
Ba  0.8648  0.1352  0.0000  4 Hg 3.55-3.56, 1 Ba 3.96
Sr  0.3693  0.6307  0.5000  4 Hg 3.51-3.52, 1 Sr 3.83
Sr  0.6307  0.3693  0.5000  4 Hg 3.51-3.52, 1 Sr 3.83
Hg  0.0000  0.0000  0.5000  4 Sr 3.52, 4 Ba 3.55
Hg  0.5000  0.5000  0.0000  4 Sr 3.51, 4 Ba 3.56


[6]
BaSr3Hg | PBE | optimized geometry

M_tot = 0.00 μB per cell
formation energy from the elements = -179.3 meV per atom
density = 3.95 Mg/m³
energy relative to the lowest polymorph listed for this composition = 0.036 eV per atom

Lattice parameters (Å, degrees): 8.4788 8.4788 9.3193 119.43 119.43 71.21
Closest atoms and distances in Å follow each position.
Atoms (fractional coordinates):
Ba  0.0303  0.0303  0.2719  1 Hg 3.47
Ba  0.9697  0.9697  0.7281  1 Hg 3.47
Sr  0.0932  0.5086  0.2587  2 Hg 3.28-3.41
Sr  0.4199  0.4199  0.7379  2 Hg 3.30-3.47
Sr  0.4914  0.9068  0.7413  2 Hg 3.28-3.41
Sr  0.5086  0.0932  0.2587  2 Hg 3.28-3.41
Sr  0.5801  0.5801  0.2621  2 Hg 3.30-3.47
Sr  0.9068  0.4914  0.7413  2 Hg 3.28-3.41
Hg  0.2820  0.2820  0.9501  6 Sr 3.28-3.47, 1 Ba 3.47
Hg  0.7180  0.7180  0.0499  6 Sr 3.28-3.47, 1 Ba 3.47


[7]
Ba3Sr2Hg | PBE | optimized geometry

M_tot = 0.00 μB per cell
formation energy from the elements = -136.5 meV per atom
density = 4.31 Mg/m³

Lattice parameters (Å, degrees): 9.9088 9.9088 10.6863 90.00 90.00 144.64
Closest atoms and distances in Å follow each position.
Atoms (fractional coordinates):
Ba  0.0000  0.0000  0.2230  2 Hg 3.59, 2 Sr 3.84
Ba  0.0000  0.0000  0.7770  2 Hg 3.59, 2 Sr 3.84
Ba  0.3226  0.6774  0.1928  3 Hg 3.71-3.98, 1 Sr 3.93, 3 Ba 4.07-4.12
Ba  0.3226  0.6774  0.8072  3 Hg 3.71-3.98, 1 Sr 3.93, 3 Ba 4.07-4.12
Ba  0.6774  0.3226  0.1928  3 Hg 3.71-3.98, 1 Sr 3.93, 3 Ba 4.07-4.12
Ba  0.6774  0.3226  0.8072  3 Hg 3.71-3.98, 1 Sr 3.93, 3 Ba 4.07-4.12
Sr  0.1692  0.8308  0.5000  4 Sr 4.29-4.39, 8 Ba 4.35-4.46
Sr  0.5000  0.5000  0.0000  8 Ba 3.84-3.93, 4 Hg 4.03
Sr  0.5000  0.5000  0.5000  8 Ba 4.22-4.69, 4 Sr 4.39
Sr  0.8308  0.1692  0.5000  4 Sr 4.29-4.39, 8 Ba 4.35-4.46
Hg  0.1422  0.8578  0.0000  8 Ba 3.59-3.98
Hg  0.8578  0.1422  0.0000  8 Ba 3.59-3.98


[8]
BaSrHg | PBE | optimized geometry

M_tot = 0.00 μB per cell
formation energy from the elements = -226.9 meV per atom
density = 5.32 Mg/m³
energy relative to the lowest polymorph listed for this composition = 0.146 eV per atom

Lattice parameters (Å, degrees): 5.5696 5.5696 4.9402 90.00 90.00 120.00
Closest atoms and distances in Å follow each position.
Atoms (fractional coordinates):
Ba  0.0000  0.0000  0.0000  3 Hg 3.63, 3 Sr 4.03
Sr  0.3333  0.6667  0.5079  3 Hg 3.32
Hg  0.6667  0.3333  0.3412  3 Sr 3.32, 3 Ba 3.63


[9]
Ba2SrHg | PBE | optimized geometry

M_tot = 0.02 μB per cell
formation energy from the elements = -170.0 meV per atom
density = 4.47 Mg/m³

Lattice parameters (Å, degrees): 12.3841 12.3841 12.3841 20.77 20.77 20.77
Closest atoms and distances in Å follow each position.
Atoms (fractional coordinates):
Ba  0.0000  0.0000  0.0000  3 Hg 3.50
Ba  0.2027  0.2027  0.2027  3 Hg 3.51
Sr  0.4353  0.4353  0.4353  6 Sr 4.46, 6 Ba 4.48-4.52
Hg  0.6017  0.6017  0.6017  6 Ba 3.50-3.51


[10]
Ba2SrTl3Hg6 | PBE | optimized geometry

M_tot = 0.00 μB per cell
formation energy from the elements = -186.0 meV per atom
density = 7.98 Mg/m³

Lattice parameters (Å, degrees): 4.4638 4.4638 22.7470 90.00 90.00 90.00
Closest atoms and distances in Å follow each position.
Atoms (fractional coordinates):
Ba  0.0000  0.0000  0.2036  4 Hg 3.57, 4 Tl 3.65
Ba  0.0000  0.0000  0.7964  4 Hg 3.57, 4 Tl 3.65
Sr  0.0000  0.0000  0.5000  8 Hg 3.39
Tl  0.5000  0.5000  0.0000  2 Hg 2.96
Tl  0.5000  0.5000  0.2838  5 Hg 3.26-3.49, 4 Ba 3.65
Tl  0.5000  0.5000  0.7162  5 Hg 3.26-3.49, 4 Ba 3.65
Hg  0.0000  0.5000  0.3880  4 Hg 3.16, 2 Tl 3.26, 2 Sr 3.39
Hg  0.0000  0.5000  0.6120  4 Hg 3.16, 2 Tl 3.26, 2 Sr 3.39
Hg  0.5000  0.0000  0.3880  4 Hg 3.16, 2 Tl 3.26, 2 Sr 3.39
Hg  0.5000  0.0000  0.6120  4 Hg 3.16, 2 Tl 3.26, 2 Sr 3.39
Hg  0.5000  0.5000  0.1302  1 Tl 2.96
Hg  0.5000  0.5000  0.8698  1 Tl 2.96


[11]
Ba5Sr2TlHg2 | PBE | optimized geometry

M_tot = 0.00 μB per cell
formation energy from the elements = -303.9 meV per atom
density = 5.19 Mg/m³

Lattice parameters (Å, degrees): 14.6146 14.6146 4.3933 90.00 90.00 90.00
Closest atoms and distances in Å follow each position.
Atoms (fractional coordinates):
Ba  0.0000  0.5000  0.0000  4 Hg 3.56
Ba  0.0470  0.1966  0.0000  2 Hg 3.54, 2 Tl 3.68
Ba  0.1966  0.9530  0.0000  2 Hg 3.54, 2 Tl 3.68
Ba  0.3034  0.4530  0.0000  2 Hg 3.54, 2 Tl 3.68
Ba  0.4530  0.6966  0.0000  2 Hg 3.54, 2 Tl 3.68
Ba  0.5000  0.0000  0.0000  4 Hg 3.56
Ba  0.5470  0.3034  0.0000  2 Hg 3.54, 2 Tl 3.68
Ba  0.6966  0.5470  0.0000  2 Hg 3.54, 2 Tl 3.68
Ba  0.8034  0.0470  0.0000  2 Hg 3.54, 2 Tl 3.68
Ba  0.9530  0.8034  0.0000  2 Hg 3.54, 2 Tl 3.68
Sr  0.1924  0.6924  0.5000  1 Hg 3.56
Sr  0.3076  0.1924  0.5000  1 Hg 3.56
Sr  0.6924  0.8076  0.5000  1 Hg 3.56
Sr  0.8076  0.3076  0.5000  1 Hg 3.56
Tl  0.0000  0.0000  0.5000  8 Ba 3.68
Tl  0.5000  0.5000  0.5000  8 Ba 3.68
Hg  0.1355  0.3645  0.5000  6 Ba 3.54-3.56, 1 Sr 3.56
Hg  0.3645  0.8645  0.5000  6 Ba 3.54-3.56, 1 Sr 3.56
Hg  0.6355  0.1355  0.5000  6 Ba 3.54-3.56, 1 Sr 3.56
Hg  0.8645  0.6355  0.5000  6 Ba 3.54-3.56, 1 Sr 3.56


[12]
BaSr2Tl2Hg2 | PBE | optimized geometry

M_tot = 0.00 μB per cell
formation energy from the elements = -365.4 meV per atom
density = 7.34 Mg/m³

Lattice parameters (Å, degrees): 11.0588 11.0588 11.0588 27.47 27.47 27.47
Closest atoms and distances in Å follow each position.
Atoms (fractional coordinates):
Ba  0.0000  0.0000  0.0000  6 Hg 3.78, 6 Tl 3.95, 2 Sr 4.01
Sr  0.1255  0.1255  0.1255  3 Tl 3.37, 3 Hg 3.50
Sr  0.8745  0.8745  0.8745  3 Tl 3.37, 3 Hg 3.50
Tl  0.2539  0.2539  0.2539  3 Hg 3.05, 3 Sr 3.37
Tl  0.7461  0.7461  0.7461  3 Hg 3.05, 3 Sr 3.37
Hg  0.4038  0.4038  0.4038  3 Tl 3.05
Hg  0.5962  0.5962  0.5962  3 Tl 3.05


[13]
BaSrTlHg | PBE | optimized geometry

M_tot = 0.00 μB per cell
formation energy from the elements = -467.7 meV per atom
density = 7.25 Mg/m³

Lattice parameters (Å, degrees): 5.8881 5.8881 5.8881 60.00 60.00 60.00
Closest atoms and distances in Å follow each position.
Atoms (fractional coordinates):
Ba  0.0000  0.0000  0.0000  4 Hg 3.61, 4 Tl 3.61
Sr  0.5000  0.5000  0.5000  4 Hg 3.61, 4 Tl 3.61
Tl  0.2500  0.2500  0.2500  4 Ba 3.61, 4 Sr 3.61
Hg  0.7500  0.7500  0.7500  4 Sr 3.61, 4 Ba 3.61


[14]
Ba2SrZnHg | PBE | optimized geometry

M_tot = 0.00 μB per cell
formation energy from the elements = -46.8 meV per atom
density = 4.74 Mg/m³

Lattice parameters (Å, degrees): 6.5550 6.5550 5.1266 90.00 90.00 90.00
Closest atoms and distances in Å follow each position.
Atoms (fractional coordinates):
Ba  0.0000  0.5000  0.0000  2 Zn 3.28
Ba  0.5000  0.0000  0.0000  2 Zn 3.28
Sr  0.0000  0.0000  0.5000  8 Ba 4.16, 4 Hg 4.64
Zn  0.5000  0.5000  0.0000  2 Hg 2.56
Hg  0.5000  0.5000  0.5000  2 Zn 2.56


[15]
Ba3Sr3ZnHg2 | PBE | optimized geometry

M_tot = 0.00 μB per cell
formation energy from the elements = -226.1 meV per atom
density = 5.01 Mg/m³

Lattice parameters (Å, degrees): 9.3928 9.3928 4.9480 90.00 90.00 120.00
Closest atoms and distances in Å follow each position.
Atoms (fractional coordinates):
Ba  0.0000  0.7451  0.0000  2 Zn 3.44, 2 Hg 3.56
Ba  0.2549  0.2549  0.0000  2 Zn 3.44, 2 Hg 3.56
Ba  0.7451  0.0000  0.0000  2 Zn 3.44, 2 Hg 3.56
Sr  0.0000  0.4095  0.5000  4 Hg 3.77, 1 Zn 3.85, 6 Ba 4.01-4.18
Sr  0.4095  0.0000  0.5000  4 Hg 3.77, 1 Zn 3.85, 6 Ba 4.01-4.18
Sr  0.5905  0.5905  0.5000  4 Hg 3.77, 1 Zn 3.85, 6 Ba 4.01-4.18
Zn  0.0000  0.0000  0.5000  6 Ba 3.44, 3 Sr 3.85
Hg  0.3333  0.6667  0.0000  3 Ba 3.56, 6 Sr 3.77
Hg  0.6667  0.3333  0.0000  3 Ba 3.56, 6 Sr 3.77


[16]
BaTaHg | PBE | optimized geometry

M_tot = 4.14 μB per cell
formation energy from the elements = 1640.3 meV per atom
density = 7.13 Mg/m³
energy relative to the lowest polymorph listed for this composition = 1.026 eV per atom

Lattice parameters (Å, degrees): 5.5506 5.5506 5.5506 60.00 60.00 60.00
Closest atoms and distances in Å follow each position.
Atoms (fractional coordinates):
Ba  0.0000  0.0000  0.0000  4 Hg 3.40, 4 Ta 3.40
Ta  0.2500  0.2500  0.2500  4 Ba 3.40
Hg  0.7500  0.7500  0.7500  4 Ba 3.40


[17]
Ba2TaHg | PBE | optimized geometry

M_tot = 3.12 μB per cell
formation energy from the elements = 785.2 meV per atom
density = 8.16 Mg/m³

Lattice parameters (Å, degrees): 6.2952 6.2952 6.2952 132.37 132.37 69.64
Closest atoms and distances in Å follow each position.
Atoms (fractional coordinates):
Ba  0.0000  0.0000  0.0000  4 Ta 3.59, 4 Ba 3.62, 4 Hg 3.62
Ba  0.7500  0.2500  0.5000  4 Hg 3.59, 4 Ba 3.62, 4 Ta 3.62
Ta  0.5000  0.5000  0.0000  8 Ba 3.59-3.62, 4 Hg 3.62
Hg  0.2500  0.7500  0.5000  8 Ba 3.59-3.62, 4 Ta 3.62


[18]
BaTa2Hg | PBE | optimized geometry

M_tot = 0.00 μB per cell
formation energy from the elements = 520.4 meV per atom
density = 12.09 Mg/m³

Lattice parameters (Å, degrees): 3.1121 3.1121 10.4396 90.00 90.00 108.07
Closest atoms and distances in Å follow each position.
Atoms (fractional coordinates):
Ba  0.0000  0.0000  0.0000  4 Ba 3.11
Ta  0.0000  0.0000  0.5126  2 Ta 2.71, 2 Hg 2.99
Ta  0.5000  0.5000  0.7041  2 Ta 2.71
Hg  0.5000  0.5000  0.2858  2 Ta 2.99, 4 Hg 3.11


[19]
BaTaHg | PBE | optimized geometry

M_tot = 0.00 μB per cell
formation energy from the elements = 797.7 meV per atom
density = 10.81 Mg/m³
energy relative to the lowest polymorph listed for this composition = 0.183 eV per atom

Lattice parameters (Å, degrees): 3.3402 3.3402 8.2459 90.00 90.00 120.00
Closest atoms and distances in Å follow each position.
Atoms (fractional coordinates):
Ba  0.0000  0.0000  0.0000  6 Ba 3.34, 3 Ta 3.49, 3 Hg 3.62
Ta  0.6667  0.3333  0.6474  3 Hg 2.98
Hg  0.3333  0.6667  0.3718  3 Ta 2.98


[20]
Ba2TaHg | PBE | optimized geometry

M_tot = 2.32 μB per cell
formation energy from the elements = 1087.1 meV per atom
density = 8.40 Mg/m³

Lattice parameters (Å, degrees): 12.1765 12.1765 12.1765 157.71 157.71 31.73
Closest atoms and distances in Å follow each position.
Atoms (fractional coordinates):
Ba  0.1219  0.6250  0.9969  4 Ba 3.31-3.35, 2 Ta 3.36, 2 Hg 3.37
Ba  0.3750  0.3719  0.4969  4 Ba 3.31-3.35, 2 Ta 3.36, 2 Hg 3.37
Ba  0.6281  0.1250  0.0031  4 Ba 3.31-3.35, 2 Ta 3.36, 2 Hg 3.37
Ba  0.8750  0.8781  0.5031  4 Ba 3.31-3.35, 2 Ta 3.36, 2 Hg 3.37
Ta  0.0000  0.0000  0.0000  4 Hg 3.33, 4 Ba 3.36
Ta  0.7500  0.2500  0.5000  4 Hg 3.33, 4 Ba 3.36
Hg  0.2500  0.7500  0.5000  4 Ta 3.33, 4 Ba 3.37
Hg  0.5000  0.5000  0.0000  4 Ta 3.33, 4 Ba 3.37